Density functional theory data (PBE-GGA) for crystalline ErZn3Br9 at its relaxed geometry. Values from VASP.

```
&SYSTEM
  ibrav = 0, nat = 26, ntyp = 3
/
ATOMIC_SPECIES
Er 167.26 Er.upf
Zn 65.41 Zn.upf
Br 79.90 Br.upf
CELL_PARAMETERS angstrom
8.671 0.000 3.649
3.954 9.234 2.732
0.264 -0.196 11.500
ATOMIC_POSITIONS angstrom
Er 2.142 4.603 1.507
Er 8.206 9.122 10.287
Zn 9.413 4.949 12.192
Zn 8.607 0.430 5.624
Zn 12.568 8.609 15.780
Zn 3.835 4.090 5.877
Zn 6.262 2.123 11.088
Zn 6.882 6.838 6.188
Br 3.627 1.690 5.488
Br 4.321 6.208 12.008
Br 4.583 2.599 12.813
Br 6.822 7.314 8.594
Br 1.969 0.664 8.946
Br 2.743 5.380 4.112
Br 9.215 6.903 5.389
Br 5.202 2.187 8.861
Br 10.913 8.580 9.854
Br 9.494 3.864 14.417
Br 8.248 7.107 12.257
Br 9.375 2.588 6.503
Br 6.236 4.522 5.798
Br 10.947 9.041 14.009
Br 8.193 3.562 10.592
Br 5.886 8.277 4.461
Br 7.386 0.659 3.526
Br 3.096 5.178 7.949
```

Summary:
energy: -76.2 eV/cell
density: 3.93 g cm⁻³
energy relative to the elements, uncorrected: -1127 meV per atom
spin magnetization: 0.00 μB per cell